[1]
The following is a DFT calculation (PBE) of a geometry-optimized Dy2HfPaAs4 structure.

Structure (extended XYZ):
```
8
Lattice="4.036 0.000 0.000 0.000 6.951 0.118 0.000 -2.432 6.582" Properties=species:S:1:pos:R:3 pbc="T T T"
As 2.018 1.083 1.586
As 2.018 3.436 5.114
As 0.000 4.665 1.694
As 0.000 -0.146 5.006
Hf 0.000 0.000 0.000
Pa 2.018 3.475 0.059
Dy 0.000 2.259 3.350
Dy 2.018 -1.216 3.291
```

Uncorrected energy = -7.17 eV per atom
Crystal system = monoclinic
Energy relative to the elements = -122 kJ per mole of atoms


[2]
The following is a DFT calculation (PBE) of a geometry-optimized Nd4HCN2 structure.

Structure (extended XYZ):
```
8
Lattice="5.203 0.283 0.000 -0.283 5.203 0.000 -2.460 -2.743 5.216" Properties=species:S:1:pos:R:3 pbc="T T T"
Nd 2.150 2.398 2.713
Nd -0.309 -0.345 2.503
Nd 2.009 4.999 0.000
Nd 4.751 2.540 0.000
H 2.152 2.400 0.000
C 4.610 5.141 0.000
N -0.451 2.256 2.608
N 2.292 -0.203 2.608
```

Uncorrected energy = -6.80 eV per atom
Crystal system = tetragonal


[3]
The following is a DFT calculation (PBE) of a geometry-optimized Y2B4As structure.

Structure (extended XYZ):
```
7
Lattice="4.144 0.000 0.000 0.000 4.144 0.000 2.072 2.072 6.392" Properties=species:S:1:pos:R:3 pbc="T T T"
B 2.072 0.000 0.000
B 2.072 2.072 4.330
B 4.144 4.144 2.062
B 0.000 2.072 0.000
As 0.000 0.000 0.000
Y 4.144 4.144 4.591
Y 2.072 2.072 1.802
```

Uncorrected energy = -5.58 eV per atom
Crystal system = tetragonal
Energy relative to the elements = 72 kJ per mole of atoms


[4]
The following is a DFT calculation (PBE) of a geometry-optimized RbClF5 structure.

Structure (extended XYZ):
```
14
Lattice="7.181 -0.896 -1.856 -3.762 6.325 -1.287 -0.466 -0.526 6.705" Properties=species:S:1:pos:R:3 pbc="T T T"
F -0.766 2.769 3.874
F -1.171 4.106 1.752
F 3.718 2.134 -0.312
F 5.992 0.345 -0.381
F 1.636 5.085 2.367
F -3.040 4.558 3.943
F 1.316 -0.182 1.195
F 0.769 1.512 -0.617
F 2.184 3.391 4.179
F 4.124 0.797 1.809
Rb 0.784 4.373 -0.338
Rb 2.169 0.530 3.900
Cl 0.000 0.000 0.000
Cl -2.114 2.899 2.709
```

Uncorrected energy = -3.00 eV per atom
Raw formation energy = -8.83 eV per formula unit
Crystal system = monoclinic